No. 1
The following is a GGA-PBE calculation of a relaxed Ac5Mg2Ga4 crystal, from Alexandria.

a = 11.3915 Å, b = 11.3915 Å, c = 8.3137 Å
α = 111.37°, β = 111.37°, γ = 20.76°
Fractional coordinates of all 11 atoms:
Ac1 0.0000 0.0000 0.0000
Ac2 0.3389 0.3389 0.0668
Ac3 0.3389 0.3389 0.6118
Ac4 0.6611 0.6611 0.3882
Ac5 0.6611 0.6611 0.9332
Mg1 0.0710 0.0710 0.5706
Mg2 0.9290 0.9290 0.4294
Ga1 0.2084 0.2084 0.7082
Ga2 0.5000 0.5000 0.3231
Ga3 0.5000 0.5000 0.6769
Ga4 0.7916 0.7916 0.2918

Computed properties:
E_tot, eV per atom: -3.53
Total moment, μB per cell: 0.00
DOS(E_F), states/eV/atom: 0.854
Calculated density, g/cm3: 6.837
Space group: C2/m, No. 12
Formation energy from the elements, eV/f.u.: -3.0

=====

No. 2
The following is a GGA-PBE calculation of a relaxed Ac2Mg3Ga4 crystal, from Alexandria.

a = 8.9941 Å, b = 8.9941 Å, c = 8.3316 Å
α = 90.00°, β = 90.00°, γ = 138.92°
Fractional coordinates of all 18 atoms:
Ac1 0.1052 0.8948 0.9063
Ac2 0.3948 0.6052 0.4063
Ac3 0.6052 0.3948 0.5937
Ac4 0.8948 0.1052 0.0937
Mg1 0.0000 0.0000 0.5000
Mg2 0.0252 0.4748 0.7500
Mg3 0.4748 0.0252 0.2500
Mg4 0.5000 0.5000 0.0000
Mg5 0.5252 0.9748 0.7500
Mg6 0.9748 0.5252 0.2500
Ga1 0.1749 0.8251 0.5152
Ga2 0.1896 0.3104 0.7500
Ga3 0.3104 0.1896 0.2500
Ga4 0.3251 0.6749 0.0152
Ga5 0.6749 0.3251 0.9848
Ga6 0.6896 0.8104 0.7500
Ga7 0.8104 0.6896 0.2500
Ga8 0.8251 0.1749 0.4848

Computed properties:
E_tot, eV per atom: -3.13
Total moment, μB per cell: 0.00
DOS(E_F), states/eV/atom: 0.675
Calculated density, g/cm3: 6.042
Space group: Cmce, No. 64
Formation energy from the elements, eV/f.u.: -3.0

=====

No. 3
The following is a GGA-PBE calculation of a relaxed Ac3Mg2Ga3 crystal, from Alexandria.

a = 12.0053 Å, b = 12.0053 Å, c = 12.0053 Å
α = 160.98°, β = 155.62°, γ = 31.10°
Fractional coordinates of all 8 atoms:
Ac1 0.0000 0.0000 0.0000
Ac2 0.3761 0.8761 0.5000
Ac3 0.6239 0.1239 0.5000
Mg1 0.2501 0.2501 0.0000
Mg2 0.7499 0.7499 0.0000
Ga1 0.1622 0.6622 0.5000
Ga2 0.5000 0.5000 0.0000
Ga3 0.8378 0.3378 0.5000

Computed properties:
E_tot, eV per atom: -3.36
Total moment, μB per cell: 0.00
DOS(E_F), states/eV/atom: 0.717
Calculated density, g/cm3: 6.702
Space group: Immm, No. 71
Formation energy from the elements, eV/f.u.: -2.3

=====

No. 4
The following is a GGA-PBE calculation of a relaxed Ac4Mg5Ga2 crystal, from Alexandria.

a = 8.2176 Å, b = 4.1693 Å, c = 10.2939 Å
α = 90.00°, β = 93.97°, γ = 90.00°
Fractional coordinates of all 11 atoms:
Ac1 0.1667 0.0000 0.3614
Ac2 0.2539 0.0000 0.9423
Ac3 0.7461 0.0000 0.0577
Ac4 0.8333 0.0000 0.6386
Mg1 0.1891 0.5000 0.6566
Mg2 0.4387 0.5000 0.1994
Mg3 0.5000 0.5000 0.5000
Mg4 0.5613 0.5000 0.8006
Mg5 0.8109 0.5000 0.3434
Ga1 0.0545 0.5000 0.1269
Ga2 0.9455 0.5000 0.8731

Computed properties:
E_tot, eV per atom: -2.92
Total moment, μB per cell: 0.00
DOS(E_F), states/eV/atom: 0.952
Calculated density, g/cm3: 5.517
Space group: P2/m, No. 10
Formation energy from the elements, eV/f.u.: -1.6

=====

No. 5
The following is a GGA-PBE calculation of a relaxed AcNdMgGa crystal, from Alexandria.

a = 5.5127 Å, b = 5.5127 Å, c = 5.5127 Å
α = 60.00°, β = 60.00°, γ = 60.00°
Fractional coordinates of all 4 atoms:
Ac1 0.0000 0.0000 0.0000
Nd1 0.5000 0.5000 0.5000
Mg1 0.7500 0.7500 0.7500
Ga1 0.2500 0.2500 0.2500

Computed properties:
E_tot, eV per atom: -3.64
Total moment, μB per cell: 0.00
DOS(E_F), states/eV/atom: 0.963
Calculated density, g/cm3: 6.522
Space group: F-43m, No. 216
Formation energy from the elements, eV/f.u.: -1.1

=====

No. 6
The following is a GGA-PBE calculation of a relaxed Ac2MgGa3Ni4 crystal, from Alexandria.

a = 4.3173 Å, b = 4.3173 Å, c = 10.2582 Å
α = 90.00°, β = 90.00°, γ = 90.00°
Fractional coordinates of all 10 atoms:
Ac1 0.0000 0.5000 0.2369
Ac2 0.5000 0.0000 0.7631
Mg1 0.0000 0.0000 0.5000
Ga1 0.0000 0.5000 0.8901
Ga2 0.5000 0.0000 0.1099
Ga3 0.5000 0.5000 0.5000
Ni1 0.0000 0.0000 0.0000
Ni2 0.0000 0.5000 0.6434
Ni3 0.5000 0.0000 0.3566
Ni4 0.5000 0.5000 0.0000

Computed properties:
E_tot, eV per atom: -4.64
Total moment, μB per cell: 0.00
DOS(E_F), states/eV/atom: 0.733
Calculated density, g/cm3: 8.009
Space group: P-4m2, No. 115
Formation energy from the elements, eV/f.u.: -4.4

=====

No. 7
The following is a GGA-PBE calculation of a relaxed AcMgGa2Ni4 crystal, from Alexandria.

a = 9.1184 Å, b = 9.1184 Å, c = 9.1184 Å
α = 26.22°, β = 26.22°, γ = 26.22°
Fractional coordinates of all 8 atoms:
Ac1 0.0000 0.0000 0.0000
Mg1 0.5000 0.5000 0.5000
Ga1 0.2330 0.2330 0.2330
Ga2 0.7670 0.7670 0.7670
Ni1 0.1272 0.1272 0.1272
Ni2 0.4076 0.4076 0.4076
Ni3 0.5924 0.5924 0.5924
Ni4 0.8728 0.8728 0.8728

Computed properties:
E_tot, eV per atom: -4.72
Total moment, μB per cell: 0.00
DOS(E_F), states/eV/atom: 0.532
Calculated density, g/cm3: 7.967
Space group: R-3m, No. 166
Formation energy from the elements, eV/f.u.: -2.9

=====

No. 8
The following is a GGA-PBE calculation of a relaxed AcMgGa2Ni2 crystal, from Alexandria.

a = 4.2921 Å, b = 4.2921 Å, c = 7.2210 Å
α = 90.00°, β = 90.00°, γ = 120.00°
Fractional coordinates of all 6 atoms:
Ac1 0.0000 0.0000 0.0000
Mg1 0.0000 0.0000 0.5000
Ga1 0.3333 0.6667 0.3046
Ga2 0.6667 0.3333 0.6954
Ni1 0.3333 0.6667 0.6524
Ni2 0.6667 0.3333 0.3476

Computed properties:
E_tot, eV per atom: -4.34
Total moment, μB per cell: 0.00
DOS(E_F), states/eV/atom: 0.727
Calculated density, g/cm3: 7.324
Space group: P-3m1, No. 164
Formation energy from the elements, eV/f.u.: -2.7